# 1
Here is ErTaGa after structural relaxation from OQMD. Energies are from PBE.

Cell: 4.778 4.778 4.778 Å, 60.00 60.00 60.00°
Element x y z (fractional)
Er: 0.000 0.000 0.000
Ga: 0.250 0.250 0.250
Ta: 0.750 0.750 0.750

Properties
**Energy above the lowest structure with this stoichiometry**: 839 meV per atom



# 2
Here is TbErGa6 after structural relaxation from OQMD. Energies are from PBE.

Cell: 6.256 6.256 4.552 Å, 90.00 90.00 120.00°
Element x y z (fractional)
Er: 0.000 0.000 0.500
Ga: 0.185 0.370 0.000
Ga: 0.185 0.815 0.000
Ga: 0.630 0.815 0.000
Ga: 0.037 0.519 0.500
Ga: 0.481 0.519 0.500
Ga: 0.481 0.963 0.500
Tb: 0.667 0.333 0.000

Properties
**E**: -31.6 eV per cell



# 3
Here is TbErGa after structural relaxation from OQMD. Energies are from PBE.

Cell: 4.939 4.939 4.939 Å, 60.00 60.00 60.00°
Element x y z (fractional)
Er: 0.250 0.250 0.250
Ga: 0.000 0.000 0.000
Tb: 0.750 0.750 0.750

Properties
**E**: -13.0 eV per cell



# 4
Here is TbErGa5 after structural relaxation from OQMD. Energies are from PBE.

Cell: 4.223 4.223 8.305 Å, 90.00 90.00 90.00°
Element x y z (fractional)
Er: 0.000 0.000 0.500
Ga: 0.500 0.500 0.000
Ga: 0.500 0.000 0.256
Ga: 0.000 0.500 0.256
Ga: 0.500 0.000 0.744
Ga: 0.000 0.500 0.744
Tb: 0.000 0.000 0.000

Properties
**E**: -27.3 eV per cell



# 5
Here is Er4Ga12Tc after structural relaxation from OQMD. Energies are from PBE.

Cell: 7.438 7.438 7.438 Å, 109.47 109.47 109.47°
Element x y z (fractional)
Er: 0.500 0.000 0.000
Er: 0.000 0.500 0.000
Er: 0.000 0.000 0.500
Er: 0.500 0.500 0.500
Ga: 0.292 0.292 0.000
Ga: 0.708 0.708 0.000
Ga: 0.750 0.500 0.250
Ga: 0.500 0.750 0.250
Ga: 0.292 0.000 0.292
Ga: 0.000 0.292 0.292
Ga: 0.750 0.250 0.500
Ga: 0.250 0.750 0.500
Ga: 0.708 0.000 0.708
Ga: 0.000 0.708 0.708
Ga: 0.500 0.250 0.750
Ga: 0.250 0.500 0.750
Tc: 0.000 0.000 0.000

Properties
**E**: -73.8 eV per cell



# 6
Here is ErGa2Tc2 after structural relaxation from OQMD. Energies are from PBE.

Cell: 8.232 8.232 2.810 Å, 90.00 90.00 90.01°
Element x y z (fractional)
Er: 0.500 0.000 0.000
Er: 0.000 0.500 0.000
Ga: 0.192 0.192 0.500
Ga: 0.692 0.308 0.500
Ga: 0.308 0.692 0.500
Ga: 0.808 0.808 0.500
Tc: 0.899 0.101 0.500
Tc: 0.399 0.399 0.500
Tc: 0.601 0.601 0.500
Tc: 0.101 0.899 0.500

Properties
**E**: -60.8 eV per cell



# 7
Here is Er5GaTe4 after structural relaxation from OQMD. Energies are from PBE.

Cell: 7.459 7.459 7.459 Å, 99.49 99.49 132.08°
Element x y z (fractional)
Er: 0.501 0.501 0.000
Er: 0.276 0.905 0.179
Er: 0.097 0.276 0.372
Er: 0.905 0.726 0.628
Er: 0.726 0.097 0.821
Ga: 0.001 0.001 0.000
Te: 0.807 0.410 0.215
Te: 0.592 0.807 0.397
Te: 0.410 0.195 0.603
Te: 0.195 0.592 0.785

Properties
**E**: -50.0 eV per cell



# 8
Here is ErThGa after structural relaxation from OQMD. Energies are from PBE.

Cell: 4.975 4.975 4.975 Å, 60.00 60.00 60.00°
Element x y z (fractional)
Er: 0.250 0.250 0.250
Ga: 0.000 0.000 0.000
Th: 0.750 0.750 0.750

Properties
**Energy above the lowest structure with this stoichiometry**: 0 meV per atom



no.,volume (Å³ per atom),total magnetization (μB per formula unit)
1,25.71,2.6
2,19.29,0.0
3,28.40,0.0
4,21.16,0.0
5,18.63,0.0
6,19.04,0.0
7,28.15,0.0
8,29.02,0.0